Computed, not measured: a geometry-optimized GaSnMo4C2 structure at the PBE-GGA level of DFT.

The structure in POSCAR format:
```
GaSnMo4C2
1.0
-0.164 -2.994 0.944
0.988 2.224 1.990
-12.504 1.953 4.023
Mo C Sn Ga
4 2 1 1
Direct
0.667 0.333 0.344
0.333 0.667 0.826
0.667 0.333 0.656
0.333 0.667 0.174
0.000 0.000 0.742
0.000 0.000 0.258
0.667 0.333 0.000
0.333 0.667 0.500
```

Output
Calculated total energy: -8.648 eV/atom